Run a
BaCd2S3 PBE-GGA optimized geometry; spin magnetization = 0.00 μB/cell; calculated volume = 296.6 Å³/cell; SG = Pmc2_1, No. 26
1.0
3.905 0.000 0.000
0.000 10.907 0.000
0.000 0.000 6.965
Ba Cd S
2 4 6
direct
0.000 0.136 0.000
0.000 0.864 0.500
0.000 0.228 0.508
0.000 0.772 0.008
0.500 0.486 0.012
0.500 0.514 0.512
0.000 0.405 0.757
0.000 0.595 0.257
0.500 0.079 0.650
0.500 0.300 0.266
0.500 0.700 0.766
0.500 0.921 0.150

***

Run b
BaCd2S3 PBE-GGA optimized geometry; spin magnetization = 0.00 μB/cell; Fermi-level density of states = 0.0 states/eV per cell; calculated volume = 365.3 Å³/cell; SG = Cmc2_1, No. 36
1.0
6.754 -3.986 0.000
6.754 3.986 0.000
0.000 0.000 6.785
Ba Cd S
2 4 6
direct
0.192 0.808 0.500
0.808 0.192 0.000
0.158 0.497 0.031
0.497 0.158 0.531
0.503 0.842 0.031
0.842 0.503 0.531
0.175 0.436 0.403
0.197 0.803 0.975
0.436 0.175 0.903
0.564 0.825 0.403
0.803 0.197 0.475
0.825 0.564 0.903

***

Most stable of them? run b.

***

Run a
Ba2Cd2Sb PBE-GGA optimized geometry; spin magnetization = 0.00 μB/cell; Fermi-level density of states = 5.6 states/eV per cell; calculated volume = 191.0 Å³/cell; SG = I4/mmm, No. 139
1.0
-2.144 2.144 10.389
2.144 -2.144 10.389
2.144 2.144 -10.389
Ba Cd Sb
2 2 1
direct
0.090 0.090 0.000
0.910 0.910 0.000
0.250 0.750 0.500
0.750 0.250 0.500
0.500 0.500 0.000

***

Run b
Ba2Cd2Sb PBE-GGA optimized geometry; spin magnetization = 0.00 μB/cell; Fermi-level density of states = 7.9 states/eV per cell; calculated volume = 359.0 Å³/cell; SG = P4/mbm, No. 127
1.0
8.398 0.000 0.000
0.000 8.398 0.000
0.000 0.000 5.090
Ba Cd Sb
4 4 2
direct
0.184 0.316 0.000
0.316 0.816 0.000
0.684 0.184 0.000
0.816 0.684 0.000
0.121 0.621 0.500
0.379 0.121 0.500
0.621 0.879 0.500
0.879 0.379 0.500
0.000 0.000 0.500
0.500 0.500 0.500

***

Most stable of them? run a.

***

Run a
Ba3Cd2Sb4 PBE-GGA optimized geometry; spin magnetization = 0.00 μB/cell; Fermi-level density of states = 1.3 states/eV per cell; calculated volume = 324.0 Å³/cell; SG = C2/m, No. 12
1.0
9.069 -2.461 0.000
9.069 2.461 0.000
-2.931 0.000 7.258
Ba Cd Sb
3 2 4
direct
0.000 0.000 0.000
0.142 0.142 0.592
0.858 0.858 0.408
0.332 0.332 0.029
0.668 0.668 0.971
0.207 0.207 0.197
0.498 0.498 0.315
0.502 0.502 0.685
0.793 0.793 0.803

***

Run b
Ba3Cd2Sb4 PBE-GGA optimized geometry; spin magnetization = 0.00 μB/cell; Fermi-level density of states = 3.1 states/eV per cell; calculated volume = 313.2 Å³/cell; SG = C2/m, No. 12
1.0
6.704 -2.484 0.000
6.704 2.484 0.000
-4.046 0.000 9.405
Ba Cd Sb
3 2 4
direct
0.000 0.000 0.000
0.377 0.377 0.311
0.623 0.623 0.689
0.313 0.313 0.662
0.687 0.687 0.338
0.095 0.095 0.399
0.285 0.285 0.938
0.715 0.715 0.062
0.905 0.905 0.601

***

Most stable of them? run a.

***

Run a
BaCdSb PBE-GGA optimized geometry; spin magnetization = 0.00 μB/cell; Fermi-level density of states = 1.3 states/eV per cell; calculated volume = 232.6 Å³/cell; SG = Immm, No. 71
1.0
-2.402 2.785 8.694
2.402 -2.785 8.694
2.402 2.785 -8.694
Ba Cd Sb
2 2 2
direct
0.156 0.156 0.000
0.844 0.844 0.000
0.245 0.500 0.745
0.755 0.500 0.255
0.355 0.355 0.000
0.645 0.645 0.000

***

Run b
BaCdSb PBE-GGA optimized geometry; spin magnetization = 0.00 μB/cell; Fermi-level density of states = 2.4 states/eV per cell; calculated volume = 124.5 Å³/cell; SG = F-43m, No. 216
1.0
0.000 3.963 3.963
3.963 0.000 3.963
3.963 3.963 0.000
Ba Cd Sb
1 1 1
direct
0.000 0.000 0.000
0.250 0.250 0.250
0.750 0.750 0.750

***

Run c
BaCdSb PBE-GGA optimized geometry; spin magnetization = 0.00 μB/cell; Fermi-level density of states = 0.1 states/eV per cell; calculated volume = 220.2 Å³/cell; SG = P-1, No. 2
1.0
5.036 0.000 0.000
-2.517 5.933 0.000
-0.009 -1.246 7.370
Ba Cd Sb
2 2 2
direct
0.123 0.245 0.275
0.877 0.755 0.725
0.391 0.782 0.068
0.609 0.218 0.932
0.175 0.351 0.760
0.825 0.649 0.240

***

Most stable of them? run c.